Entry 1:
The following is a GGA-PBE calculation of crystalline Ba4NaCd2Hg at its relaxed geometry, from the Alexandria database.

Cell: 6.110 6.110 10.583 Å, 73.22 73.22 60.00°
Element x y z (fractional)
Ba: 0.381 0.381 0.856
Ba: 0.869 0.869 0.394
Ba: 0.131 0.131 0.606
Ba: 0.619 0.619 0.144
Na: 0.000 0.000 0.000
Cd: 0.745 0.745 0.764
Cd: 0.255 0.255 0.236
Hg: 0.500 0.500 0.500

Properties
Crystal system: trigonal
DFT total energy, eV/atom: -1.69



Entry 2:
The following is a GGA-PBE calculation of crystalline BaNa2CdHg2 at its relaxed geometry, from the Alexandria database.

Cell: 5.946 5.946 7.512 Å, 113.31 113.31 90.00°
Element x y z (fractional)
Ba: 0.500 0.500 0.000
Na: 0.250 0.750 0.500
Na: 0.750 0.250 0.500
Cd: 0.000 0.000 0.000
Hg: 0.774 0.774 0.547
Hg: 0.226 0.226 0.453

Properties
Crystal system: tetragonal
DFT total energy, eV/atom: -1.15



Entry 3:
The following is a GGA-PBE calculation of crystalline Ba2NaCdHg6 at its relaxed geometry, from the Alexandria database.

Cell: 7.894 7.894 7.894 Å, 60.00 60.00 90.00°
Element x y z (fractional)
Ba: 0.250 0.750 0.500
Ba: 0.750 0.250 0.500
Na: 0.500 0.500 0.000
Cd: 0.000 0.000 0.000
Hg: 0.252 0.748 0.000
Hg: 0.748 0.748 0.000
Hg: 0.252 0.252 0.496
Hg: 0.748 0.252 0.000
Hg: 0.252 0.252 0.000
Hg: 0.748 0.748 0.504

Properties
Crystal system: cubic
DFT total energy, eV/atom: -0.96



Entry 4:
The following is a GGA-PBE calculation of crystalline BaCdNiHg2 at its relaxed geometry, from the Alexandria database.

Cell: 5.171 5.171 5.081 Å, 90.00 90.00 90.00°
Element x y z (fractional)
Ni: 0.000 0.000 0.000
Cd: 0.000 0.000 0.500
Hg: 0.000 0.500 0.000
Hg: 0.500 0.000 0.000
Ba: 0.500 0.500 0.500

Properties
Crystal system: tetragonal
DFT total energy, eV/atom: -2.08



Q: Which of these has the highest DFT total energy?
A: Ba2NaCdHg6



Q: Among the records above, which one has the lowest DFT total energy?
A: BaCdNiHg2